Record 1
# PBE Ni7IrPt3, relaxed
data_Ni7IrPt3
_chemical_formula_sum 'Ni28 Ir4 Pt12'
_space_group_name_H-M_alt 'C m c m'
_space_group_IT_number 63
_space_group_name_Hall '-C 2c 2'
_cell_length_a 2.661
_cell_length_b 20.241
_cell_length_c 10.673
_cell_angle_alpha 90.00
_cell_angle_beta 90.00
_cell_angle_gamma 90.00
loop_
_atom_site_label
_atom_site_type_symbol
_atom_site_fract_x
_atom_site_fract_y
_atom_site_fract_z
Ni1 Ni 0.000 0.025 0.103
Ni2 Ni 0.000 0.152 0.750
Ni3 Ni 0.000 0.156 0.078
Ni4 Ni 0.000 0.284 0.080
Ir1 Ir 0.000 0.408 0.750
Pt1 Pt 0.000 0.278 0.750
Pt2 Pt 0.000 0.415 0.086
# final energy = -267.24 eV/cell
# volume = 13.067 A^3/atom
# formation energy from the elements = 0.64 eV per formula unit

---

Record 2
# PBE NiIr4Pt, relaxed
data_NiIr4Pt
_chemical_formula_sum 'Ni4 Ir16 Pt4'
_space_group_name_H-M_alt 'F -4 3 m'
_space_group_IT_number 216
_space_group_name_Hall 'F -4 2 3'
_cell_length_a 7.252
_cell_length_b 7.252
_cell_length_c 7.252
_cell_angle_alpha 90.00
_cell_angle_beta 90.00
_cell_angle_gamma 90.00
loop_
_atom_site_label
_atom_site_type_symbol
_atom_site_fract_x
_atom_site_fract_y
_atom_site_fract_z
Ni1 Ni 0.000 0.000 0.000
Ir1 Ir 0.125 0.125 0.625
Pt1 Pt 0.250 0.250 0.250
# final energy = -172.85 eV/cell
# volume = 15.893 A^3/atom
# formation energy from the elements = 4.05 eV per formula unit

---

Record 3
# PBE NiIr2Pt, relaxed
data_NiIr2Pt
_chemical_formula_sum 'Ni2 Ir4 Pt2'
_space_group_name_H-M_alt 'C 1 2/m 1'
_space_group_IT_number 12
_cell_length_a 8.940
_cell_length_b 2.729
_cell_length_c 4.683
_cell_angle_alpha 90.00
_cell_angle_beta 100.68
_cell_angle_gamma 90.00
loop_
_space_group_symop_operation_xyz
'x,y,z'
'-x,-y,-z'
'-x,y,-z'
'x,-y,z'
'x+1/2,y+1/2,z'
'-x+1/2,-y+1/2,-z'
'-x+1/2,y+1/2,-z'
'x+1/2,-y+1/2,z'
loop_
_atom_site_label
_atom_site_type_symbol
_atom_site_fract_x
_atom_site_fract_y
_atom_site_fract_z
Ni1 Ni 0.000 0.000 0.000
Ir1 Ir 0.245 0.500 0.242
Pt1 Pt 0.000 0.500 0.500
# energy relative to the lowest polymorph listed for this composition = 13 kJ/mol of formula units
# final energy = -58.88 eV/cell
# volume = 14.036 A^3/atom
# formation energy from the elements = 0.10 eV per formula unit

---

Record 4
# PBE Ni2IrPt, relaxed
data_Ni2IrPt
_chemical_formula_sum 'Ni4 Ir2 Pt2'
_space_group_name_H-M_alt 'I 4/m m m'
_space_group_IT_number 139
_space_group_name_Hall '-I 4 2'
_cell_length_a 3.816
_cell_length_b 3.816
_cell_length_c 7.167
_cell_angle_alpha 90.00
_cell_angle_beta 90.00
_cell_angle_gamma 90.00
loop_
_atom_site_label
_atom_site_type_symbol
_atom_site_fract_x
_atom_site_fract_y
_atom_site_fract_z
Ni1 Ni 0.000 0.500 0.250
Ir1 Ir 0.000 0.000 0.000
Pt1 Pt 0.000 0.000 0.500
# energy relative to the lowest polymorph listed for this composition = 14 kJ/mol of formula units
# final energy = -52.96 eV/cell
# volume = 13.046 A^3/atom
# formation energy from the elements = -0.01 eV per formula unit

---

Record 5
# PBE NiIr2Pt, relaxed
data_NiIr2Pt
_chemical_formula_sum 'Ni2 Ir4 Pt2'
_space_group_name_H-M_alt 'C 1 m 1'
_space_group_IT_number 8
_cell_length_a 8.911
_cell_length_b 2.743
_cell_length_c 4.675
_cell_angle_alpha 90.00
_cell_angle_beta 100.32
_cell_angle_gamma 90.00
loop_
_space_group_symop_operation_xyz
'x,y,z'
'x,-y,z'
'x+1/2,y+1/2,z'
'x+1/2,-y+1/2,z'
loop_
_atom_site_label
_atom_site_type_symbol
_atom_site_fract_x
_atom_site_fract_y
_atom_site_fract_z
Ni1 Ni 0.000 0.000 0.000
Ir1 Ir 0.006 0.500 0.518
Ir2 Ir 0.253 0.000 0.743
Pt1 Pt 0.251 0.500 0.239
# energy relative to the lowest polymorph listed for this composition = 12 kJ/mol of formula units
# final energy = -58.89 eV/cell
# volume = 14.055 A^3/atom
# formation energy from the elements = 0.10 eV per formula unit

---

Record 6
# PBE NiIr2Pt, relaxed
data_NiIr2Pt
_chemical_formula_sum 'Ni2 Ir4 Pt2'
_space_group_name_H-M_alt 'I m m 2'
_space_group_IT_number 44
_cell_length_a 2.702
_cell_length_b 4.614
_cell_length_c 9.157
_cell_angle_alpha 90.00
_cell_angle_beta 90.00
_cell_angle_gamma 90.00
loop_
_space_group_symop_operation_xyz
'x,y,z'
'-x,-y,z'
'-x,y,z'
'x,-y,z'
'x+1/2,y+1/2,z+1/2'
'-x+1/2,-y+1/2,z+1/2'
'-x+1/2,y+1/2,z+1/2'
'x+1/2,-y+1/2,z+1/2'
loop_
_atom_site_label
_atom_site_type_symbol
_atom_site_fract_x
_atom_site_fract_y
_atom_site_fract_z
Ni1 Ni 0.000 0.000 0.000
Ir1 Ir 0.000 0.000 0.512
Ir2 Ir 0.000 0.500 0.260
Pt1 Pt 0.000 0.500 0.748
# energy relative to the lowest polymorph listed for this composition = 76 kJ/mol of formula units
# final energy = -57.57 eV/cell
# volume = 14.272 A^3/atom
# formation energy from the elements = 0.76 eV per formula unit

---

Record 7
# PBE Ni3IrPt2, relaxed
data_Ni3IrPt2
_chemical_formula_sum 'Ni24 Ir8 Pt16'
_space_group_name_H-M_alt 'I 41/a m d'
_space_group_IT_number 141
_cell_length_a 8.147
_cell_length_b 8.147
_cell_length_c 10.150
_cell_angle_alpha 90.00
_cell_angle_beta 90.00
_cell_angle_gamma 90.00
loop_
_space_group_symop_operation_xyz
'x,y,z'
'-x,-y,-z'
'-y+1/4,x+3/4,z+1/4'
'y+1/4,-x+3/4,-z+1/4'
'-x+1/2,-y,z+1/2'
'x+1/2,y,-z+1/2'
'y+1/4,-x+1/4,z+3/4'
'-y+1/4,x+1/4,-z+3/4'
'x,-y,-z'
'-x,y,z'
'-y+1/4,-x+1/4,-z+3/4'
'y+1/4,x+1/4,z+3/4'
'-x+1/2,y,-z+1/2'
'x+1/2,-y,z+1/2'
'y+1/4,x+3/4,-z+1/4'
'-y+1/4,-x+3/4,z+1/4'
'x+1/2,y+1/2,z+1/2'
'-x+1/2,-y+1/2,-z+1/2'
'-y+3/4,x+1/4,z+3/4'
'y+3/4,-x+1/4,-z+3/4'
'-x,-y+1/2,z'
'x,y+1/2,-z'
'y+3/4,-x+3/4,z+1/4'
'-y+3/4,x+3/4,-z+1/4'
'x+1/2,-y+1/2,-z+1/2'
'-x+1/2,y+1/2,z+1/2'
'-y+3/4,-x+3/4,-z+1/4'
'y+3/4,x+3/4,z+1/4'
'-x,y+1/2,-z'
'x,-y+1/2,z'
'y+3/4,x+1/4,-z+3/4'
'-y+3/4,-x+1/4,z+3/4'
loop_
_atom_site_label
_atom_site_type_symbol
_atom_site_fract_x
_atom_site_fract_y
_atom_site_fract_z
Ni1 Ni 0.000 0.000 0.000
Ni2 Ni 0.208 0.042 0.375
Ir1 Ir 0.000 0.250 0.244
Pt1 Pt 0.000 0.079 0.769
# final energy = -293.79 eV/cell
# volume = 14.035 A^3/atom
# formation energy from the elements = 1.56 eV per formula unit

---

Record 8
# PBE NiIr2Pt, relaxed
data_NiIr2Pt
_chemical_formula_sum 'Ni4 Ir8 Pt4'
_space_group_name_H-M_alt 'F -4 3 m'
_space_group_IT_number 216
_space_group_name_Hall 'F -4 2 3'
_cell_length_a 6.125
_cell_length_b 6.125
_cell_length_c 6.125
_cell_angle_alpha 90.00
_cell_angle_beta 90.00
_cell_angle_gamma 90.00
loop_
_atom_site_label
_atom_site_type_symbol
_atom_site_fract_x
_atom_site_fract_y
_atom_site_fract_z
Ni1 Ni 0.000 0.000 0.000
Ir1 Ir 0.000 0.000 0.500
Ir2 Ir 0.250 0.250 0.250
Pt1 Pt 0.250 0.250 0.750
# energy relative to the lowest polymorph listed for this composition = 128 kJ/mol of formula units
# final energy = -113.00 eV/cell
# volume = 14.362 A^3/atom
# formation energy from the elements = 1.29 eV per formula unit

---

Record 9
# PBE Ni2IrPt2, relaxed
data_Ni2IrPt2
_chemical_formula_sum 'Ni4 Ir2 Pt4'
_space_group_name_H-M_alt 'P 4/m b m'
_space_group_IT_number 127
_space_group_name_Hall '-P 4 2ab'
_cell_length_a 7.086
_cell_length_b 7.086
_cell_length_c 2.791
_cell_angle_alpha 90.00
_cell_angle_beta 90.00
_cell_angle_gamma 90.00
loop_
_atom_site_label
_atom_site_type_symbol
_atom_site_fract_x
_atom_site_fract_y
_atom_site_fract_z
Ni1 Ni 0.120 0.380 0.000
Ir1 Ir 0.000 0.000 0.000
Pt1 Pt 0.178 0.678 0.500
# energy relative to the lowest polymorph listed for this composition = 103 kJ/mol of formula units
# final energy = -62.82 eV/cell
# volume = 14.013 A^3/atom
# formation energy from the elements = 1.09 eV per formula unit

---

Record 10
# PBE NiIrPt4, relaxed
data_NiIrPt4
_chemical_formula_sum 'Ni2 Ir2 Pt8'
_space_group_name_H-M_alt 'P m m a'
_space_group_IT_number 51
_cell_length_a 8.844
_cell_length_b 2.716
_cell_length_c 7.581
_cell_angle_alpha 90.00
_cell_angle_beta 90.00
_cell_angle_gamma 90.00
loop_
_space_group_symop_operation_xyz
'x,y,z'
'-x,-y,-z'
'-x+1/2,-y,z'
'x+1/2,y,-z'
'x+1/2,-y,-z'
'-x+1/2,y,z'
'-x,y,-z'
'x,-y,z'
loop_
_atom_site_label
_atom_site_type_symbol
_atom_site_fract_x
_atom_site_fract_y
_atom_site_fract_z
Ni1 Ni 0.250 0.000 0.048
Ir1 Ir 0.250 0.000 0.706
Pt1 Pt 0.000 0.000 0.500
Pt2 Pt 0.008 0.500 0.830
Pt3 Pt 0.250 0.500 0.364
# energy relative to the lowest polymorph listed for this composition = 0 kJ/mol of formula units
# final energy = -76.05 eV/cell
# volume = 15.173 A^3/atom
# formation energy from the elements = 0.78 eV per formula unit

---

Record 11
# PBE Ni6IrPt2, relaxed
data_Ni6IrPt2
_chemical_formula_sum 'Ni24 Ir4 Pt8'
_space_group_name_H-M_alt 'C 1 2/c 1'
_space_group_IT_number 15
_cell_length_a 11.896
_cell_length_b 8.735
_cell_length_c 4.454
_cell_angle_alpha 90.00
_cell_angle_beta 100.10
_cell_angle_gamma 90.00
loop_
_space_group_symop_operation_xyz
'x,y,z'
'-x,-y,-z'
'-x,y,-z+1/2'
'x,-y,z+1/2'
'x+1/2,y+1/2,z'
'-x+1/2,-y+1/2,-z'
'-x+1/2,y+1/2,-z+1/2'
'x+1/2,-y+1/2,z+1/2'
loop_
_atom_site_label
_atom_site_type_symbol
_atom_site_fract_x
_atom_site_fract_y
_atom_site_fract_z
Ni1 Ni 0.053 0.129 0.029
Ni2 Ni 0.110 0.377 0.301
Ni3 Ni 0.218 0.374 0.865
Ir1 Ir 0.000 0.375 0.750
Pt1 Pt 0.168 0.123 0.581
# energy relative to the lowest polymorph listed for this composition = 0 kJ/mol of formula units
# final energy = -221.15 eV/cell
# volume = 12.658 A^3/atom
# formation energy from the elements = 0.34 eV per formula unit

---

Record 12
# PBE Ni2IrPt, relaxed
data_Ni2IrPt
_chemical_formula_sum 'Ni2 Ir1 Pt1'
_space_group_name_H-M_alt 'P m m m'
_space_group_IT_number 47
_cell_length_a 2.692
_cell_length_b 3.561
_cell_length_c 5.449
_cell_angle_alpha 90.00
_cell_angle_beta 90.00
_cell_angle_gamma 90.00
loop_
_space_group_symop_operation_xyz
'x,y,z'
'-x,-y,-z'
'-x,-y,z'
'x,y,-z'
'x,-y,-z'
'-x,y,z'
'-x,y,-z'
'x,-y,z'
loop_
_atom_site_label
_atom_site_type_symbol
_atom_site_fract_x
_atom_site_fract_y
_atom_site_fract_z
Ni1 Ni 0.000 0.000 0.239
Ir1 Ir 0.500 0.500 0.000
Pt1 Pt 0.500 0.500 0.500
# energy relative to the lowest polymorph listed for this composition = 7 kJ/mol of formula units
# final energy = -26.55 eV/cell
# volume = 13.056 A^3/atom
# formation energy from the elements = -0.09 eV per formula unit